Compound: Sr2CdCl6
Source: the Alexandria database
Functional: PBE
Structure: optimized geometry

Results
Excess energy over the best structure of this formula in the dataset = 0.0 meV/atom
Density = 3.215 g/cm³
Formation energy without anion corrections = -1997 meV/atom
Size of the total moment = 0.000 μB per atom

a = 7.421 Å, b = 6.918 Å, c = 10.137 Å
α = 96.61°, β = 90.00°, γ = 90.00°
Sites, in units of the cell vectors:
Sr  0.600  0.048  0.231
Sr  0.100  0.452  0.269
Sr  0.900  0.548  0.731
Sr  0.400  0.952  0.769
Cd  0.500  0.500  0.000
Cd  0.000  0.000  0.500
Cl  0.060  0.159  0.740
Cl  0.303  0.174  0.415
Cl  0.318  0.188  0.056
Cl  0.818  0.312  0.444
Cl  0.803  0.326  0.085
Cl  0.560  0.341  0.760
Cl  0.940  0.841  0.260
Cl  0.697  0.826  0.585
Cl  0.682  0.812  0.944
Cl  0.182  0.688  0.556
Cl  0.197  0.674  0.915
Cl  0.440  0.659  0.240